Entry 1:
# BaInAg2, single point on PBEsol structure, DFT meta-GGA SCAN
data_BaInAg2
_chemical_formula_sum 'Ba2 In2 Ag4'
_cell_length_a 8.2195
_cell_length_b 4.7474
_cell_length_c 6.3724
_cell_angle_alpha 90.00
_cell_angle_beta 115.73
_cell_angle_gamma 90.00
_symmetry_space_group_name_H-M 'C 1 m 1'
_symmetry_Int_Tables_number 8
_symmetry_space_group_name_Hall 'C -2y'
loop_
_atom_site_label
_atom_site_type_symbol
_atom_site_fract_x
_atom_site_fract_y
_atom_site_fract_z
Ba1 Ba 0.0000 0.0000 0.0000
In1 In 0.3008 0.5000 0.4005
Ag1 Ag 0.0164 0.5000 0.5468
Ag2 Ag 0.1982 0.0000 0.5918
# E   -34.194 eV per atom
# E_form   -0.276 eV/atom

Entry 2:
# BaIn2Ag, single point on PBEsol structure, DFT meta-GGA SCAN
data_BaIn2Ag
_chemical_formula_sum 'Ba3 In6 Ag3'
_cell_length_a 4.7038
_cell_length_b 4.7038
_cell_length_c 18.5602
_cell_angle_alpha 90.00
_cell_angle_beta 90.00
_cell_angle_gamma 120.00
_symmetry_space_group_name_H-M 'R -3 m'
_symmetry_Int_Tables_number 166
_symmetry_space_group_name_Hall '-R 3 2"'
loop_
_atom_site_label
_atom_site_type_symbol
_atom_site_fract_x
_atom_site_fract_y
_atom_site_fract_z
Ba1 Ba 0.0000 0.0000 0.0000
In1 In 0.0000 0.0000 0.2101
Ag1 Ag 0.0000 0.0000 0.5000
# E   -34.817 eV per atom
# E_form   -0.395 eV/atom

Entry 3:
# BaInAg4, single point on PBEsol structure, DFT meta-GGA SCAN
data_BaInAg4
_chemical_formula_sum 'Ba4 In4 Ag16'
_cell_length_a 8.0475
_cell_length_b 8.0475
_cell_length_c 8.0475
_cell_angle_alpha 90.00
_cell_angle_beta 90.00
_cell_angle_gamma 90.00
_symmetry_space_group_name_H-M 'F -4 3 m'
_symmetry_Int_Tables_number 216
_symmetry_space_group_name_Hall 'F -4 2 3'
loop_
_atom_site_label
_atom_site_type_symbol
_atom_site_fract_x
_atom_site_fract_y
_atom_site_fract_z
Ba1 Ba 0.0000 0.0000 0.0000
In1 In 0.2500 0.2500 0.2500
Ag1 Ag 0.1238 0.1238 0.6238
# E   -33.228 eV per atom
# E_form   -0.160 eV/atom

Entry 4:
# BaInAg2, single point on PBEsol structure, DFT meta-GGA SCAN
data_BaInAg2
_chemical_formula_sum 'Ba1 In1 Ag2'
_cell_length_a 3.7200
_cell_length_b 3.7200
_cell_length_c 7.3769
_cell_angle_alpha 90.00
_cell_angle_beta 90.00
_cell_angle_gamma 90.00
_symmetry_space_group_name_H-M 'P 4/m m m'
_symmetry_Int_Tables_number 123
_symmetry_space_group_name_Hall '-P 4 2'
loop_
_atom_site_label
_atom_site_type_symbol
_atom_site_fract_x
_atom_site_fract_y
_atom_site_fract_z
Ba1 Ba 0.0000 0.0000 0.0000
In1 In 0.0000 0.0000 0.5000
Ag1 Ag 0.5000 0.5000 0.3066
# E   -34.004 eV per atom
# E_form   -0.087 eV/atom

Entry 5:
# BaIn2Ag, single point on PBEsol structure, DFT meta-GGA SCAN
data_BaIn2Ag
_chemical_formula_sum 'Ba1 In2 Ag1'
_cell_length_a 4.6215
_cell_length_b 4.6215
_cell_length_c 5.2289
_cell_angle_alpha 90.00
_cell_angle_beta 90.00
_cell_angle_gamma 90.00
_symmetry_space_group_name_H-M 'P 4/m m m'
_symmetry_Int_Tables_number 123
_symmetry_space_group_name_Hall '-P 4 2'
loop_
_atom_site_label
_atom_site_type_symbol
_atom_site_fract_x
_atom_site_fract_y
_atom_site_fract_z
Ba1 Ba 0.0000 0.0000 0.0000
In1 In 0.0000 0.5000 0.5000
Ag1 Ag 0.5000 0.5000 0.0000
# E   -34.558 eV per atom
# E_form   -0.135 eV/atom

Entry 6:
# BaIn2Ag, single point on PBEsol structure, DFT meta-GGA SCAN
data_BaIn2Ag
_chemical_formula_sum 'Ba2 In4 Ag2'
_cell_length_a 5.3244
_cell_length_b 5.3244
_cell_length_c 7.5214
_cell_angle_alpha 90.00
_cell_angle_beta 90.00
_cell_angle_gamma 90.00
_symmetry_space_group_name_H-M 'I -4 m 2'
_symmetry_Int_Tables_number 119
_symmetry_space_group_name_Hall 'I -4 -2'
loop_
_atom_site_label
_atom_site_type_symbol
_atom_site_fract_x
_atom_site_fract_y
_atom_site_fract_z
Ba1 Ba 0.0000 0.0000 0.0000
In1 In 0.0000 0.0000 0.5000
In2 In 0.0000 0.5000 0.2500
Ag1 Ag 0.0000 0.5000 0.7500
# E   -34.677 eV per atom
# E_form   -0.255 eV/atom

Entry 7:
# BaInAg2, single point on PBEsol structure, DFT meta-GGA SCAN
data_BaInAg2
_chemical_formula_sum 'Ba3 In3 Ag6'
_cell_length_a 4.7839
_cell_length_b 4.7839
_cell_length_c 16.7452
_cell_angle_alpha 90.00
_cell_angle_beta 90.00
_cell_angle_gamma 120.00
_symmetry_space_group_name_H-M 'R -3 m'
_symmetry_Int_Tables_number 166
_symmetry_space_group_name_Hall '-R 3 2"'
loop_
_atom_site_label
_atom_site_type_symbol
_atom_site_fract_x
_atom_site_fract_y
_atom_site_fract_z
Ba1 Ba 0.0000 0.0000 0.0000
In1 In 0.0000 0.0000 0.5000
Ag1 Ag 0.0000 0.0000 0.1974
# E   -34.230 eV per atom
# E_form   -0.312 eV/atom

Entry 8:
# BaIn2Ag, single point on PBEsol structure, DFT meta-GGA SCAN
data_BaIn2Ag
_chemical_formula_sum 'Ba3 In6 Ag3'
_cell_length_a 4.7423
_cell_length_b 4.7423
_cell_length_c 18.3717
_cell_angle_alpha 90.00
_cell_angle_beta 90.00
_cell_angle_gamma 120.00
_symmetry_space_group_name_H-M 'R 3 m'
_symmetry_Int_Tables_number 160
_symmetry_space_group_name_Hall 'R 3 -2"'
loop_
_atom_site_label
_atom_site_type_symbol
_atom_site_fract_x
_atom_site_fract_y
_atom_site_fract_z
Ba1 Ba 0.0000 0.0000 0.0000
In1 In 0.0000 0.0000 0.5390
In2 In 0.0000 0.0000 0.7901
Ag1 Ag 0.0000 0.0000 0.1873
# E   -34.824 eV per atom
# E_form   -0.402 eV/atom

Entry 9:
# Ba3InAg, single point on PBEsol structure, DFT meta-GGA SCAN
data_Ba3InAg
_chemical_formula_sum 'Ba3 In1 Ag1'
_cell_length_a 6.1967
_cell_length_b 6.1967
_cell_length_c 6.1967
_cell_angle_alpha 90.00
_cell_angle_beta 90.00
_cell_angle_gamma 90.00
_symmetry_space_group_name_H-M 'P m -3 m'
_symmetry_Int_Tables_number 221
_symmetry_space_group_name_Hall '-P 4 2 3'
loop_
_atom_site_label
_atom_site_type_symbol
_atom_site_fract_x
_atom_site_fract_y
_atom_site_fract_z
Ba1 Ba 0.0000 0.0000 0.5000
In1 In 0.5000 0.5000 0.5000
Ag1 Ag 0.0000 0.0000 0.0000
# E   -36.738 eV per atom
# E_form   -0.057 eV/atom

Entry 10:
# BaInAgOs2, single point on PBEsol structure, DFT meta-GGA SCAN
data_BaInAgOs2
_chemical_formula_sum 'Ba1 In1 Ag1 Os2'
_cell_length_a 4.9120
_cell_length_b 4.9120
_cell_length_c 5.8526
_cell_angle_alpha 90.00
_cell_angle_beta 90.00
_cell_angle_gamma 90.00
_symmetry_space_group_name_H-M 'P 4/m m m'
_symmetry_Int_Tables_number 123
_symmetry_space_group_name_Hall '-P 4 2'
loop_
_atom_site_label
_atom_site_type_symbol
_atom_site_fract_x
_atom_site_fract_y
_atom_site_fract_z
Ba1 Ba 0.0000 0.0000 0.0000
In1 In 0.0000 0.0000 0.5000
Ag1 Ag 0.5000 0.5000 0.0000
Os1 Os 0.0000 0.5000 0.5000
# E   -47.683 eV per atom
# E_form   1.930 eV/atom

Entry 11:
# BaAg2Ir, single point on PBEsol structure, DFT meta-GGA SCAN
data_BaAg2Ir
_chemical_formula_sum 'Ba1 Ag2 Ir1'
_cell_length_a 4.3197
_cell_length_b 4.3197
_cell_length_c 4.4255
_cell_angle_alpha 90.00
_cell_angle_beta 90.00
_cell_angle_gamma 90.00
_symmetry_space_group_name_H-M 'P 4/m m m'
_symmetry_Int_Tables_number 123
_symmetry_space_group_name_Hall '-P 4 2'
loop_
_atom_site_label
_atom_site_type_symbol
_atom_site_fract_x
_atom_site_fract_y
_atom_site_fract_z
Ba1 Ba 0.0000 0.0000 0.0000
Ag1 Ag 0.0000 0.5000 0.5000
Ir1 Ir 0.5000 0.5000 0.0000
# Energy above the lowest structure with this stoichiometry   0.000 eV/atom
# E   -42.903 eV per atom
# E_form   0.443 eV/atom

Entry 12:
# Ba3AgIr, single point on PBEsol structure, DFT meta-GGA SCAN
data_Ba3AgIr
_chemical_formula_sum 'Ba3 Ag1 Ir1'
_cell_length_a 5.9336
_cell_length_b 5.9336
_cell_length_c 5.9336
_cell_angle_alpha 90.00
_cell_angle_beta 90.00
_cell_angle_gamma 90.00
_symmetry_space_group_name_H-M 'P m -3 m'
_symmetry_Int_Tables_number 221
_symmetry_space_group_name_Hall '-P 4 2 3'
loop_
_atom_site_label
_atom_site_type_symbol
_atom_site_fract_x
_atom_site_fract_y
_atom_site_fract_z
Ba1 Ba 0.0000 0.0000 0.5000
Ag1 Ag 0.5000 0.5000 0.5000
Ir1 Ir 0.0000 0.0000 0.0000
# E   -44.268 eV per atom
# E_form   -0.044 eV/atom

Entry 13:
# BaAg2Ir, single point on PBEsol structure, DFT meta-GGA SCAN
data_BaAg2Ir
_chemical_formula_sum 'Ba4 Ag8 Ir4'
_cell_length_a 7.0051
_cell_length_b 7.0051
_cell_length_c 7.0051
_cell_angle_alpha 90.00
_cell_angle_beta 90.00
_cell_angle_gamma 90.00
_symmetry_space_group_name_H-M 'F -4 3 m'
_symmetry_Int_Tables_number 216
_symmetry_space_group_name_Hall 'F -4 2 3'
loop_
_atom_site_label
_atom_site_type_symbol
_atom_site_fract_x
_atom_site_fract_y
_atom_site_fract_z
Ba1 Ba 0.0000 0.0000 0.0000
Ag1 Ag 0.0000 0.0000 0.5000
Ag2 Ag 0.2500 0.2500 0.2500
Ir1 Ir 0.2500 0.2500 0.7500
# Energy above the lowest structure with this stoichiometry   0.084 eV/atom
# E   -42.820 eV per atom
# E_form   0.526 eV/atom

Entry 14:
# KBa3Ag, single point on PBEsol structure, DFT meta-GGA SCAN
data_KBa3Ag
_chemical_formula_sum 'K1 Ba3 Ag1'
_cell_length_a 6.5452
_cell_length_b 6.5452
_cell_length_c 6.5452
_cell_angle_alpha 90.00
_cell_angle_beta 90.00
_cell_angle_gamma 90.00
_symmetry_space_group_name_H-M 'P m -3 m'
_symmetry_Int_Tables_number 221
_symmetry_space_group_name_Hall '-P 4 2 3'
loop_
_atom_site_label
_atom_site_type_symbol
_atom_site_fract_x
_atom_site_fract_y
_atom_site_fract_z
K1 K 0.0000 0.0000 0.0000
Ba1 Ba 0.0000 0.5000 0.5000
Ag1 Ag 0.5000 0.5000 0.5000
# E   -31.735 eV per atom
# E_form   -0.065 eV/atom